Material: UTl2Co2O6
Method: DFT, PBE with a Hubbard U
State: optimized geometry

## Properties
- space group = No. 12
- energy (eV per atom) = -6.743
- calculated volume (Å³ per cell) = 175.41
- spin magnetization (μB per formula unit) = 6.02

abc: 5.5165 5.5165 6.9898
angles: 99.29 99.29 119.48
Site moments in Bohr magnetons follow the coordinates.
Sites, in units of the cell vectors:
U1 0.0000 0.0000 0.5000  0.06
Tl1 0.8273 0.1727 0.0000  0.01
Tl2 0.1727 0.8273 0.0000  0.01
Co1 0.3344 0.6656 0.5000  2.68
Co2 0.6656 0.3344 0.5000  2.68
O1 0.7380 0.7380 0.6629  0.07
O2 0.0594 0.3897 0.6651  0.07
O3 0.2620 0.2620 0.3371  0.07
O4 0.3897 0.0594 0.6651  0.07
O5 0.9406 0.6103 0.3349  0.07
O6 0.6103 0.9406 0.3349  0.07